Entry 1:
AlCrO3 | GGA+U | optimized geometry

* space-group type: Pm-3m

extended XYZ file:
```
5
Lattice="3.625 0.000 0.000 0.000 3.625 0.000 0.000 0.000 3.625" Properties=species:S:1:pos:R:3 pbc="T T T"
Al 0.000 0.000 0.000
Cr 1.812 1.812 1.812
O 0.000 0.000 1.812
O 0.000 1.812 0.000
O 1.812 0.000 0.000
```


Entry 2:
Al2CrO4 | GGA+U | optimized geometry

* space-group type: C2/m

extended XYZ file:
```
7
Lattice="5.539 -1.441 0.000 5.539 1.441 0.000 -1.856 0.000 4.511" Properties=species:S:1:pos:R:3 pbc="T T T"
Al 2.101 0.000 1.050
Al 7.121 0.000 3.461
Cr 4.611 0.000 2.256
O 0.194 0.000 3.703
O 2.681 0.000 2.968
O 6.542 0.000 1.543
O 9.029 0.000 0.809
```


Entry 3:
AlCrO2 | GGA+U | optimized geometry

* space-group type: R-3m

extended XYZ file:
```
4
Lattice="1.481 0.855 5.913 -1.481 0.855 5.913 0.000 -1.710 5.913" Properties=species:S:1:pos:R:3 pbc="T T T"
Al 0.000 0.000 0.000
Cr 0.000 0.000 8.870
O 0.000 0.000 1.908
O 0.000 0.000 15.833
```


Entry 4:
AlCrO2 | GGA+U | optimized geometry

* space-group type: R-3m

extended XYZ file:
```
4
Lattice="1.448 0.836 5.940 -1.448 0.836 5.940 0.000 -1.672 5.940" Properties=species:S:1:pos:R:3 pbc="T T T"
Al 0.000 0.000 0.000
Cr 0.000 0.000 8.910
O 0.000 0.000 6.905
O 0.000 0.000 10.916
```


Number 1: final energy -6.908 eV/atom, calculated volume 48 Å³/f.u.. Number 2: final energy -7.504 eV/atom, calculated volume 72 Å³/f.u.. Number 3: final energy -7.054 eV/atom, calculated volume 45 Å³/f.u.. Number 4: final energy -7.373 eV/atom, calculated volume 43 Å³/f.u..